# BaSrCu2

A relaxed structure of BaSrCu2 (PBE, Alexandria via LeMat-Bulk).

a = 7.7533 Å, b = 7.7533 Å, c = 7.7533 Å
α = 90.00°, β = 90.00°, γ = 90.00°
Positions (direct):
Ba: 0.0000 0.0000 0.0000
Ba: 0.0000 0.5000 0.5000
Ba: 0.5000 0.0000 0.5000
Ba: 0.5000 0.5000 0.0000
Sr: 0.0000 0.0000 0.5000
Sr: 0.0000 0.5000 0.0000
Sr: 0.5000 0.0000 0.0000
Sr: 0.5000 0.5000 0.5000
Cu: 0.2500 0.2500 0.2500
Cu: 0.2500 0.2500 0.7500
Cu: 0.2500 0.7500 0.2500
Cu: 0.2500 0.7500 0.7500
Cu: 0.7500 0.2500 0.2500
Cu: 0.7500 0.2500 0.7500
Cu: 0.7500 0.7500 0.2500
Cu: 0.7500 0.7500 0.7500

Energy of formation from the pure elements: 0.055 eV per atom
D(E_F): 0.906 states/eV/atom
Energy relative to the lowest polymorph listed for this composition: 0.101 eV/atom
Volume: 29.1 Å³ per atom
Space group: Fm-3m, No. 225
Total DFT energy (no corrections): -46.31 eV per cell